# 1
AlSeNCl2: optimized geometry, PBE.

## Properties
energy relative to the elements, uncorrected	1.07	eV per atom
raw total energy	-2.78	eV per atom
N(E_F)	2.32	states/eV/f.u.
theoretical density	2.2	g/cm3
calculated volume	28.85	Å³/atom
magnetization	2.82	μB/f.u.

Structure (CIF):
```
data_AlSeNCl2
_chemical_formula_sum 'Al1 Se1 N1 Cl2'
_cell_length_a 5.192
_cell_length_b 5.192
_cell_length_c 5.351
_cell_angle_alpha 90.00
_cell_angle_beta 90.00
_cell_angle_gamma 90.00
_symmetry_space_group_name_H-M 'P 1'
_symmetry_Int_Tables_number 1
loop_
_symmetry_equiv_pos_as_xyz
'x,y,z'
loop_
_atom_site_label
_atom_site_type_symbol
_atom_site_fract_x
_atom_site_fract_y
_atom_site_fract_z
Al1 Al 0.000 0.000 0.000
Se1 Se 0.000 0.000 0.500
N1 N 0.500 0.500 0.000
Cl1 Cl 0.000 0.500 0.500
Cl2 Cl 0.500 0.000 0.500
```

=====

# 2
AlSi2NCl: optimized geometry, PBE.

## Properties
energy relative to the elements, uncorrected	2.06	eV per atom
raw total energy	-2.89	eV per atom
N(E_F)	2.43	states/eV/f.u.
theoretical density	2.0	g/cm3
calculated volume	21.81	Å³/atom
magnetization	0.00	μB/f.u.

Structure (CIF):
```
data_AlSi2NCl
_chemical_formula_sum 'Al1 Si2 N1 Cl1'
_cell_length_a 4.707
_cell_length_b 4.707
_cell_length_c 4.922
_cell_angle_alpha 90.00
_cell_angle_beta 90.00
_cell_angle_gamma 90.00
_symmetry_space_group_name_H-M 'P 1'
_symmetry_Int_Tables_number 1
loop_
_symmetry_equiv_pos_as_xyz
'x,y,z'
loop_
_atom_site_label
_atom_site_type_symbol
_atom_site_fract_x
_atom_site_fract_y
_atom_site_fract_z
Al1 Al 0.000 0.000 0.000
Si1 Si 0.000 0.500 0.500
Si2 Si 0.500 0.000 0.500
N1 N 0.500 0.500 0.000
Cl1 Cl 0.000 0.000 0.500
```

=====

# 3
AlTeN2Cl: optimized geometry, PBE.

## Properties
energy relative to the elements, uncorrected	0.84	eV per atom
raw total energy	-4.24	eV per atom
N(E_F)	3.13	states/eV/f.u.
theoretical density	4.1	g/cm3
excess energy over the best structure of this formula in the dataset	0.000	eV/f.u.
calculated volume	17.85	Å³/atom
magnetization	1.18	μB/f.u.

Structure (CIF):
```
data_AlTeN2Cl
_chemical_formula_sum 'Al1 Te1 N2 Cl1'
_cell_length_a 3.820
_cell_length_b 3.820
_cell_length_c 6.117
_cell_angle_alpha 90.00
_cell_angle_beta 90.00
_cell_angle_gamma 90.00
_symmetry_space_group_name_H-M 'P 1'
_symmetry_Int_Tables_number 1
loop_
_symmetry_equiv_pos_as_xyz
'x,y,z'
loop_
_atom_site_label
_atom_site_type_symbol
_atom_site_fract_x
_atom_site_fract_y
_atom_site_fract_z
Al1 Al 0.000 0.000 0.000
Te1 Te 0.000 0.000 0.500
N1 N 0.000 0.500 0.000
N2 N 0.500 0.000 0.000
Cl1 Cl 0.500 0.500 0.500
```

=====

# 4
AlTeN2Cl: optimized geometry, PBE.

## Properties
energy relative to the elements, uncorrected	2.04	eV per atom
raw total energy	-3.03	eV per atom
N(E_F)	2.48	states/eV/f.u.
theoretical density	4.1	g/cm3
excess energy over the best structure of this formula in the dataset	6.032	eV/f.u.
calculated volume	17.88	Å³/atom
magnetization	2.06	μB/f.u.

Structure (CIF):
```
data_AlTeN2Cl
_chemical_formula_sum 'Al1 Te1 N2 Cl1'
_cell_length_a 4.108
_cell_length_b 4.108
_cell_length_c 5.298
_cell_angle_alpha 90.00
_cell_angle_beta 90.00
_cell_angle_gamma 90.00
_symmetry_space_group_name_H-M 'P 1'
_symmetry_Int_Tables_number 1
loop_
_symmetry_equiv_pos_as_xyz
'x,y,z'
loop_
_atom_site_label
_atom_site_type_symbol
_atom_site_fract_x
_atom_site_fract_y
_atom_site_fract_z
Al1 Al 0.000 0.000 0.000
Te1 Te 0.500 0.500 0.000
N1 N 0.000 0.500 0.500
N2 N 0.500 0.000 0.500
Cl1 Cl 0.500 0.500 0.500
```

=====

# 5
Na2AlCl4: optimized geometry, PBE.

## Properties
energy relative to the elements, uncorrected	-1.33	eV per atom
raw total energy	-3.30	eV per atom
N(E_F)	2.63	states/eV/f.u.
theoretical density	1.5	g/cm3
calculated volume	33.47	Å³/atom
magnetization	0.77	μB/f.u.

Structure (CIF):
```
data_Na2AlCl4
_chemical_formula_sum 'Na2 Al1 Cl4'
_cell_length_a 7.001
_cell_length_b 7.001
_cell_length_c 7.001
_cell_angle_alpha 122.13
_cell_angle_beta 122.13
_cell_angle_gamma 86.34
_symmetry_space_group_name_H-M 'P 1'
_symmetry_Int_Tables_number 1
loop_
_symmetry_equiv_pos_as_xyz
'x,y,z'
loop_
_atom_site_label
_atom_site_type_symbol
_atom_site_fract_x
_atom_site_fract_y
_atom_site_fract_z
Na1 Na 0.250 0.750 0.500
Na2 Na 0.750 0.250 0.500
Al1 Al 0.000 0.000 0.000
Cl1 Cl 0.095 0.664 0.000
Cl2 Cl 0.336 0.336 0.430
Cl3 Cl 0.664 0.095 0.000
Cl4 Cl 0.905 0.905 0.570
```

=====

# 6
NaAlCl4: optimized geometry, PBE.

## Properties
energy relative to the elements, uncorrected	-1.65	eV per atom
raw total energy	-3.72	eV per atom
N(E_F)	0.00	states/eV/f.u.
theoretical density	1.8	g/cm3
excess energy over the best structure of this formula in the dataset	0.113	eV/f.u.
calculated volume	30.30	Å³/atom
magnetization	0.00	μB/f.u.

Structure (CIF):
```
data_NaAlCl4
_chemical_formula_sum 'Na2 Al2 Cl8'
_cell_length_a 7.897
_cell_length_b 7.897
_cell_length_c 7.897
_cell_angle_alpha 103.27
_cell_angle_beta 103.27
_cell_angle_gamma 122.74
_symmetry_space_group_name_H-M 'P 1'
_symmetry_Int_Tables_number 1
loop_
_symmetry_equiv_pos_as_xyz
'x,y,z'
loop_
_atom_site_label
_atom_site_type_symbol
_atom_site_fract_x
_atom_site_fract_y
_atom_site_fract_z
Na1 Na 0.375 0.625 0.750
Na2 Na 0.625 0.375 0.250
Al1 Al 0.125 0.875 0.250
Al2 Al 0.875 0.125 0.750
Cl1 Cl 0.124 0.700 0.424
Cl2 Cl 0.224 0.300 0.924
Cl3 Cl 0.300 0.224 0.424
Cl4 Cl 0.300 0.876 0.076
Cl5 Cl 0.700 0.124 0.924
Cl6 Cl 0.700 0.776 0.576
Cl7 Cl 0.776 0.700 0.076
Cl8 Cl 0.876 0.300 0.576
```

=====

# 7
NaAl2Cl8: optimized geometry, PBE.

## Properties
energy relative to the elements, uncorrected	-1.38	eV per atom
raw total energy	-3.53	eV per atom
theoretical density	1.5	g/cm3
excess energy over the best structure of this formula in the dataset	0.000	eV/f.u.
calculated volume	36.68	Å³/atom
magnetization	1.03	μB/f.u.

Structure (CIF):
```
data_NaAl2Cl8
_chemical_formula_sum 'Na1 Al2 Cl8'
_cell_length_a 7.310
_cell_length_b 7.310
_cell_length_c 8.769
_cell_angle_alpha 96.99
_cell_angle_beta 96.99
_cell_angle_gamma 60.41
_symmetry_space_group_name_H-M 'P 1'
_symmetry_Int_Tables_number 1
loop_
_symmetry_equiv_pos_as_xyz
'x,y,z'
loop_
_atom_site_label
_atom_site_type_symbol
_atom_site_fract_x
_atom_site_fract_y
_atom_site_fract_z
Na1 Na 0.000 0.000 0.000
Al1 Al 0.331 0.331 0.255
Al2 Al 0.669 0.669 0.745
Cl1 Cl 0.141 0.625 0.155
Cl2 Cl 0.163 0.163 0.270
Cl3 Cl 0.375 0.859 0.845
Cl4 Cl 0.394 0.394 0.506
Cl5 Cl 0.606 0.606 0.494
Cl6 Cl 0.625 0.141 0.155
Cl7 Cl 0.837 0.837 0.730
Cl8 Cl 0.859 0.375 0.845
```

=====

# 8
Na6Al3Cl14: optimized geometry, PBE.

## Properties
energy relative to the elements, uncorrected	-1.58	eV per atom
raw total energy	-3.53	eV per atom
N(E_F)	0.83	states/eV/f.u.
theoretical density	2.0	g/cm3
calculated volume	26.19	Å³/atom
magnetization	1.00	μB/f.u.

Structure (CIF):
```
data_Na6Al3Cl14
_chemical_formula_sum 'Na6 Al3 Cl14'
_cell_length_a 10.606
_cell_length_b 10.606
_cell_length_c 6.183
_cell_angle_alpha 90.00
_cell_angle_beta 90.00
_cell_angle_gamma 120.00
_symmetry_space_group_name_H-M 'P 1'
_symmetry_Int_Tables_number 1
loop_
_symmetry_equiv_pos_as_xyz
'x,y,z'
loop_
_atom_site_label
_atom_site_type_symbol
_atom_site_fract_x
_atom_site_fract_y
_atom_site_fract_z
Na1 Na 0.173 0.347 0.000
Na2 Na 0.175 0.827 0.000
Na3 Na 0.511 0.486 0.499
Na4 Na 0.514 0.025 0.499
Na5 Na 0.653 0.825 0.000
Na6 Na 0.975 0.489 0.499
Al1 Al 0.000 0.000 0.350
Al2 Al 0.333 0.667 0.348
Al3 Al 0.667 0.333 0.877
Cl1 Cl 0.000 0.000 0.697
Cl2 Cl 0.077 0.539 0.086
Cl3 Cl 0.219 0.109 0.219
Cl4 Cl 0.220 0.441 0.549
Cl5 Cl 0.221 0.780 0.549
Cl6 Cl 0.449 0.224 0.738
Cl7 Cl 0.461 0.537 0.086
Cl8 Cl 0.463 0.923 0.086
Cl9 Cl 0.559 0.779 0.549
Cl10 Cl 0.667 0.333 0.224
Cl11 Cl 0.775 0.551 0.738
Cl12 Cl 0.776 0.225 0.738
Cl13 Cl 0.890 0.781 0.219
Cl14 Cl 0.891 0.110 0.219
```

=====

# 9
Na2Al2Cl7: optimized geometry, PBE.

## Properties
energy relative to the elements, uncorrected	-1.43	eV per atom
raw total energy	-3.53	eV per atom
N(E_F)	1.60	states/eV/f.u.
theoretical density	1.7	g/cm3
calculated volume	30.64	Å³/atom
magnetization	0.98	μB/f.u.

Structure (CIF):
```
data_Na2Al2Cl7
_chemical_formula_sum 'Na2 Al2 Cl7'
_cell_length_a 7.480
_cell_length_b 7.480
_cell_length_c 6.447
_cell_angle_alpha 102.49
_cell_angle_beta 102.49
_cell_angle_gamma 98.18
_symmetry_space_group_name_H-M 'P 1'
_symmetry_Int_Tables_number 1
loop_
_symmetry_equiv_pos_as_xyz
'x,y,z'
loop_
_atom_site_label
_atom_site_type_symbol
_atom_site_fract_x
_atom_site_fract_y
_atom_site_fract_z
Na1 Na 0.197 0.803 0.000
Na2 Na 0.803 0.197 0.000
Al1 Al 0.285 0.285 0.602
Al2 Al 0.715 0.715 0.398
Cl1 Cl 0.099 0.416 0.787
Cl2 Cl 0.101 0.101 0.287
Cl3 Cl 0.416 0.099 0.787
Cl4 Cl 0.500 0.500 0.500
Cl5 Cl 0.584 0.901 0.213
Cl6 Cl 0.899 0.899 0.713
Cl7 Cl 0.901 0.584 0.213
```

=====

# 10
Na3AlCl: optimized geometry, PBE.

## Properties
energy relative to the elements, uncorrected	-0.37	eV per atom
raw total energy	-2.28	eV per atom
N(E_F)	2.91	states/eV/f.u.
theoretical density	1.5	g/cm3
excess energy over the best structure of this formula in the dataset	0.000	eV/f.u.
calculated volume	29.83	Å³/atom
magnetization	0.00	μB/f.u.

Structure (CIF):
```
data_Na3AlCl
_chemical_formula_sum 'Na3 Al1 Cl1'
_cell_length_a 5.303
_cell_length_b 5.303
_cell_length_c 5.303
_cell_angle_alpha 90.00
_cell_angle_beta 90.00
_cell_angle_gamma 90.00
_symmetry_space_group_name_H-M 'P 1'
_symmetry_Int_Tables_number 1
loop_
_symmetry_equiv_pos_as_xyz
'x,y,z'
loop_
_atom_site_label
_atom_site_type_symbol
_atom_site_fract_x
_atom_site_fract_y
_atom_site_fract_z
Na1 Na 0.000 0.000 0.500
Na2 Na 0.000 0.500 0.000
Na3 Na 0.500 0.000 0.000
Al1 Al 0.500 0.500 0.500
Cl1 Cl 0.000 0.000 0.000
```

=====

# 11
NaAlCl4: optimized geometry, PBE.

## Properties
energy relative to the elements, uncorrected	-1.66	eV per atom
raw total energy	-3.74	eV per atom
N(E_F)	0.00	states/eV/f.u.
theoretical density	1.8	g/cm3
excess energy over the best structure of this formula in the dataset	0.021	eV/f.u.
calculated volume	29.16	Å³/atom
magnetization	0.00	μB/f.u.

Structure (CIF):
```
data_NaAlCl4
_chemical_formula_sum 'Na2 Al2 Cl8'
_cell_length_a 8.187
_cell_length_b 6.585
_cell_length_c 6.490
_cell_angle_alpha 90.00
_cell_angle_beta 90.00
_cell_angle_gamma 90.00
_symmetry_space_group_name_H-M 'P 1'
_symmetry_Int_Tables_number 1
loop_
_symmetry_equiv_pos_as_xyz
'x,y,z'
loop_
_atom_site_label
_atom_site_type_symbol
_atom_site_fract_x
_atom_site_fract_y
_atom_site_fract_z
Na1 Na 0.000 0.068 0.000
Na2 Na 0.500 0.932 0.500
Al1 Al 0.000 0.669 0.416
Al2 Al 0.500 0.331 0.916
Cl1 Cl 0.000 0.352 0.336
Cl2 Cl 0.000 0.704 0.744
Cl3 Cl 0.209 0.820 0.277
Cl4 Cl 0.291 0.180 0.777
Cl5 Cl 0.500 0.296 0.244
Cl6 Cl 0.500 0.648 0.836
Cl7 Cl 0.709 0.180 0.777
Cl8 Cl 0.791 0.820 0.277
```

=====

# 12
NaAlCl4: optimized geometry, PBE.

## Properties
energy relative to the elements, uncorrected	-1.67	eV per atom
raw total energy	-3.74	eV per atom
N(E_F)	0.00	states/eV/f.u.
theoretical density	1.7	g/cm3
excess energy over the best structure of this formula in the dataset	0.000	eV/f.u.
calculated volume	30.88	Å³/atom
magnetization	0.00	μB/f.u.

Structure (CIF):
```
data_NaAlCl4
_chemical_formula_sum 'Na4 Al4 Cl16'
_cell_length_a 6.321
_cell_length_b 10.633
_cell_length_c 11.029
_cell_angle_alpha 90.00
_cell_angle_beta 90.00
_cell_angle_gamma 90.00
_symmetry_space_group_name_H-M 'P 1'
_symmetry_Int_Tables_number 1
loop_
_symmetry_equiv_pos_as_xyz
'x,y,z'
loop_
_atom_site_label
_atom_site_type_symbol
_atom_site_fract_x
_atom_site_fract_y
_atom_site_fract_z
Na1 Na 0.134 0.025 0.364
Na2 Na 0.366 0.975 0.864
Na3 Na 0.634 0.475 0.636
Na4 Na 0.866 0.525 0.136
Al1 Al 0.098 0.235 0.713
Al2 Al 0.402 0.765 0.213
Al3 Al 0.598 0.265 0.287
Al4 Al 0.902 0.735 0.787
Cl1 Cl 0.202 0.405 0.624
Cl2 Cl 0.214 0.068 0.621
Cl3 Cl 0.220 0.222 0.895
Cl4 Cl 0.244 0.736 0.787
Cl5 Cl 0.256 0.264 0.287
Cl6 Cl 0.280 0.778 0.395
Cl7 Cl 0.286 0.932 0.121
Cl8 Cl 0.298 0.595 0.124
Cl9 Cl 0.702 0.095 0.376
Cl10 Cl 0.714 0.432 0.379
Cl11 Cl 0.720 0.278 0.105
Cl12 Cl 0.744 0.764 0.213
Cl13 Cl 0.756 0.236 0.713
Cl14 Cl 0.780 0.722 0.605
Cl15 Cl 0.786 0.568 0.879
Cl16 Cl 0.798 0.905 0.876
```